VASP calculation (PBE with a Hubbard U) on CaCo3Si4O12 after structural relaxation.

CIF file:
```
data_CaCo3Si4O12
_cell_length_a 6.705
_cell_length_b 6.705
_cell_length_c 5.317
_cell_angle_alpha 102.85
_cell_angle_beta 102.85
_cell_angle_gamma 85.08
_symmetry_space_group_name_H-M 'P 1'
_symmetry_Int_Tables_number 1
_symmetry_space_group_name_Hall 'P 1'
loop_
_atom_site_label
_atom_site_type_symbol
_atom_site_fract_x
_atom_site_fract_y
_atom_site_fract_z
Ca1 Ca 0.000 0.000 0.000
Co1 Co 0.452 0.548 0.500
Co2 Co 0.612 0.388 0.000
Co3 Co 0.805 0.195 0.500
Si1 Si 0.088 0.502 0.002
Si2 Si 0.322 0.098 0.507
Si3 Si 0.498 0.912 0.998
Si4 Si 0.902 0.678 0.493
O1 O 0.023 0.675 0.252
O2 O 0.071 0.634 0.764
O3 O 0.094 0.188 0.422
O4 O 0.325 0.435 0.117
O5 O 0.325 0.977 0.748
O6 O 0.366 0.929 0.236
O7 O 0.503 0.266 0.603
O8 O 0.565 0.675 0.883
O9 O 0.675 0.081 0.099
O10 O 0.734 0.497 0.397
O11 O 0.812 0.906 0.578
O12 O 0.919 0.325 0.901
```

* calculated volume: 11.35 Å³ per atom
* total magnetization: 9.0 Bohr magnetons per cell
* crystal system: monoclinic
* uncorrected energy: -7.233 eV per atom
* SG: No. 5